VASP calculation (PBE+U) on an optimized crystal structure of RbGeWO6.

a b c (Å): 5.330 5.330 6.203
angles (deg): 90.09 90.09 120.67
Positions (direct):
Rb1 0.000 0.000 0.000
Ge1 0.319 0.681 0.500
W1 0.677 0.323 0.500
O1 0.003 0.602 0.679
O2 0.398 0.409 0.653
O3 0.398 0.997 0.321
O4 0.591 0.602 0.347
O5 0.597 0.003 0.682
O6 0.997 0.403 0.318

Results
Electronic total energy, eV/atom: -6.36